(1)
CsTlBi: relaxed, GGA-PBE.

Results
* density of states at the Fermi level: 0.399 states/eV/atom
* energy of formation from the pure elements: -0.20 eV/atom

Structure (POSCAR):
```
CsTlBi
1.0
-2.0203 2.0203 7.4675
2.0203 -2.0203 7.4675
2.0203 2.0203 -7.4675
Cs Tl Bi
1 1 1
direct
0.0000 0.0000 0.0000
0.6925 0.6925 0.0000
0.3105 0.3105 0.0000
```



(2)
CsTl6Bi: relaxed, GGA-PBE.

Results
* density of states at the Fermi level: 0.325 states/eV/atom
* energy of formation from the pure elements: -0.03 eV/atom
* distance to the lowest polymorph of the same formula: 0.00 eV/f.u.

Structure (POSCAR):
```
CsTl6Bi
1.0
5.4720 0.0000 0.0000
0.0000 3.4442 8.4658
0.0000 -3.4442 8.4658
Cs Tl Bi
1 6 1
direct
0.0000 0.0000 0.0000
0.0000 0.4833 0.9635
0.0000 0.9635 0.4833
0.5000 0.0854 0.6139
0.5000 0.1757 0.1757
0.5000 0.6139 0.0854
0.5000 0.6451 0.6451
0.0000 0.3839 0.3839
```



(3)
CsTl4Bi: relaxed, GGA-PBE.

Results
* density of states at the Fermi level: 0.586 states/eV/atom
* energy of formation from the pure elements: -0.01 eV/atom
* distance to the lowest polymorph of the same formula: 0.54 eV/f.u.

Structure (POSCAR):
```
CsTl4Bi
1.0
0.0000 4.7652 4.7652
4.7652 0.0000 4.7652
4.7652 4.7652 0.0000
Cs Tl Bi
1 4 1
direct
0.0000 0.0000 0.0000
0.3764 0.3764 0.3764
0.3764 0.3764 0.8708
0.3764 0.8708 0.3764
0.8708 0.3764 0.3764
0.7500 0.7500 0.7500
```



(4)
CsTl3Bi: relaxed, GGA-PBE.

Results
* density of states at the Fermi level: 0.798 states/eV/atom
* energy of formation from the pure elements: 0.83 eV/atom
* distance to the lowest polymorph of the same formula: 4.84 eV/f.u.

Structure (POSCAR):
```
CsTl3Bi
1.0
6.3825 0.0000 0.0000
0.0000 6.3825 0.0000
0.0000 0.0000 6.3825
Cs Tl Bi
1 3 1
direct
0.0000 0.0000 0.0000
0.0000 0.0000 0.5000
0.0000 0.5000 0.0000
0.5000 0.0000 0.0000
0.5000 0.5000 0.5000
```